1.
FeIrPt2: relaxed, GGA-PBEsol.

Unit cell a=2.7117 b=4.7013 c=4.7013 alpha=110.26 beta=90.00 gamma=90.00
Last column: nearest neighbours and their distance in Å.
Element x y z (fractional)
Pt: 0.0000 0.5000 0.0000  4 Pt 2.69-2.71, 4 Ir 2.71, 4 Fe 2.71
Pt: 0.0000 0.0000 0.5000  4 Pt 2.69-2.71, 4 Fe 2.71, 4 Ir 2.71
Fe: 0.5000 0.5000 0.5000  2 Ir 2.69, 2 Fe 2.71, 8 Pt 2.71
Ir: 0.5000 0.0000 0.0000  2 Fe 2.69, 2 Ir 2.71, 8 Pt 2.71

Density, g cm⁻³: 18.85

***

2.
FeIrPt2: relaxed, GGA-PBEsol.

Unit cell a=3.8460 b=3.8460 c=4.6522 alpha=114.42 beta=114.42 gamma=90.00
Last column: nearest neighbours and their distance in Å.
Element x y z (fractional)
Fe: 0.5000 0.5000 0.0000  4 Ir 2.69, 8 Pt 2.69-2.72
Pt: 0.2500 0.7500 0.5000  4 Fe 2.69, 4 Pt 2.69, 4 Ir 2.72
Pt: 0.0000 0.0000 0.0000  4 Pt 2.69, 4 Ir 2.69, 4 Fe 2.72
Ir: 0.7500 0.2500 0.5000  4 Fe 2.69, 8 Pt 2.69-2.72

Density, g cm⁻³: 18.98

***

3.
FeIrPt2: relaxed, GGA-PBEsol.

Unit cell a=4.3262 b=4.3262 c=4.3262 alpha=60.00 beta=60.00 gamma=60.00
Last column: nearest neighbours and their distance in Å.
Element x y z (fractional)
Ir: 0.5000 0.5000 0.5000  8 Pt 2.65
Pt: 0.2500 0.2500 0.2500  4 Fe 2.65, 4 Ir 2.65
Pt: 0.7500 0.7500 0.7500  4 Ir 2.65, 4 Fe 2.65
Fe: 0.0000 0.0000 0.0000  8 Pt 2.65

Density, g cm⁻³: 18.51

***

4.
FeIrPt2: relaxed, GGA-PBEsol.

Unit cell a=2.7030 b=2.7030 c=7.5502 alpha=90.00 beta=90.00 gamma=90.00
Last column: nearest neighbours and their distance in Å.
Element x y z (fractional)
Ir: 0.5000 0.5000 0.7304  4 Fe 2.55, 4 Ir 2.70, 4 Pt 2.76
Fe: 0.0000 0.0000 0.5066  4 Ir 2.55, 4 Pt 2.62, 4 Fe 2.70
Pt: 0.5000 0.5000 0.2693  4 Fe 2.62, 8 Pt 2.70-2.83
Pt: 0.0000 0.0000 0.9937  8 Pt 2.70-2.83, 4 Ir 2.76

Density, g cm⁻³: 19.21

***

Energies, relative to the best one, in meV per atom: 1 0; 2 24; 3 311; 4 14.